The following is a PBE calculation of a relaxed structure of Pr6SiTe3As2, from the Alexandria database. Values from VASP.

Summary:
Spin magnetization ... 0.00 μB per formula unit
Space group ... C2/m (12)
Electronic total energy ... -5.8141 eV per atom
Raw formation energy ... -1.41 eV per atom

The structure in Quantum ESPRESSO input format:
```
&SYSTEM
  ibrav = 0, nat = 12, ntyp = 4
/
ATOMIC_SPECIES
Pr 140.91 Pr.upf
Si 28.09 Si.upf
Te 127.60 Te.upf
As 74.92 As.upf
ATOMIC_POSITIONS crystal
Pr 0.342 0.904 0.683
Pr 0.672 0.568 0.345
Pr 0.658 0.096 0.317
Pr 0.005 0.232 0.010
Pr 0.995 0.768 0.990
Pr 0.328 0.432 0.655
Si 0.500 0.000 0.000
Te 0.500 0.500 0.000
Te 0.832 0.167 0.664
Te 0.168 0.833 0.336
As 0.833 0.666 0.666
As 0.167 0.334 0.334
CELL_PARAMETERS angstrom
-1.507 -4.103 0.338
6.769 -2.905 -5.086
4.084 1.581 8.964
```



The following is a PBE calculation of a relaxed structure of Cs6F5, from the Alexandria database. Values from VASP.

Summary:
Spin magnetization ... 0.87 μB per formula unit
Space group ... C2/m (12)
Electronic total energy ... -3.6734 eV per atom
Raw formation energy ... -2.36 eV per atom

The structure in Quantum ESPRESSO input format:
```
&SYSTEM
  ibrav = 0, nat = 11, ntyp = 2
/
ATOMIC_SPECIES
Cs 132.91 Cs.upf
F 19.00 F.upf
ATOMIC_POSITIONS crystal
Cs 0.739 0.000 0.735
Cs 0.261 0.000 0.265
Cs 0.437 0.650 0.746
Cs 0.914 0.650 0.254
Cs 0.563 0.350 0.254
Cs 0.086 0.350 0.746
F 0.500 0.000 0.500
F 0.332 0.336 0.000
F 0.668 0.664 0.000
F 0.166 0.669 0.500
F 0.834 0.331 0.500
CELL_PARAMETERS angstrom
7.645 0.000 -0.030
3.822 6.611 -0.015
2.593 0.000 7.170
```



The following is a PBE calculation of a relaxed structure of SrGaTe2, from the Alexandria database. Values from VASP.

Summary:
Spin magnetization ... 0.00 μB per formula unit
Space group ... C2/m (12)
Electronic total energy ... -3.7096 eV per atom
Raw formation energy ... -0.96 eV per atom

The structure in Quantum ESPRESSO input format:
```
&SYSTEM
  ibrav = 0, nat = 8, ntyp = 3
/
ATOMIC_SPECIES
Sr 87.62 Sr.upf
Ga 69.72 Ga.upf
Te 127.60 Te.upf
ATOMIC_POSITIONS crystal
Sr 0.787 0.972 0.633
Sr 0.923 0.366 0.509
Ga 0.899 0.792 0.037
Ga 0.810 0.546 0.105
Te 0.269 0.763 0.805
Te 0.178 0.051 0.334
Te 0.441 0.575 0.337
Te 0.532 0.286 0.807
CELL_PARAMETERS angstrom
4.284 -0.554 -0.222
-0.980 9.225 0.240
-2.147 -2.624 7.286
```



The following is a PBE calculation of a relaxed structure of NaCoRu, from the Alexandria database. Values from VASP.

Summary:
E above lowest polymorph ... 154 kJ/mol of formula units
Spin magnetization ... 0.40 μB per formula unit
Space group ... P6_3/mmc (194)
Energy relative to the elements ... 0.928 eV/atom
Electronic total energy ... -4.9722 eV per atom

The structure in Quantum ESPRESSO input format:
```
&SYSTEM
  ibrav = 0, nat = 6, ntyp = 3
/
ATOMIC_SPECIES
Ru 101.07 Ru.upf
Co 58.93 Co.upf
Na 22.99 Na.upf
ATOMIC_POSITIONS crystal
Ru 0.333 0.667 0.750
Ru 0.667 0.333 0.250
Co 0.333 0.667 0.250
Co 0.667 0.333 0.750
Na 0.000 0.000 0.000
Na 0.000 0.000 0.500
CELL_PARAMETERS angstrom
-0.082 0.342 -3.817
-3.057 -1.363 1.868
-3.428 8.877 0.868
```



The following is a PBE calculation of a relaxed structure of CuIrI2, from the Alexandria database. Values from VASP.

Summary:
E above lowest polymorph ... 204 kJ/mol of formula units
Spin magnetization ... 0.00 μB per formula unit
Space group ... Fm-3m (225)
Electronic total energy ... -2.9588 eV per atom
Raw formation energy ... 1.06 eV per atom

The structure in Quantum ESPRESSO input format:
```
&SYSTEM
  ibrav = 0, nat = 4, ntyp = 3
/
ATOMIC_SPECIES
I 126.90 I.upf
Ir 192.22 Ir.upf
Cu 63.55 Cu.upf
ATOMIC_POSITIONS crystal
I 0.250 0.250 0.250
I 0.750 0.750 0.750
Ir 0.500 0.500 0.500
Cu 0.000 0.000 0.000
CELL_PARAMETERS angstrom
-3.353 -3.538 -0.841
-4.357 1.156 -2.037
-1.011 -1.398 -4.636
```



The following is a PBE calculation of a relaxed structure of InIrRh2, from the Alexandria database. Values from VASP.

Summary:
Spin magnetization ... 0.00 μB per formula unit
Space group ... Cmmm (65)
Energy relative to the elements ... -0.081 eV/atom
Electronic total energy ... -6.6567 eV per atom

The structure in Quantum ESPRESSO input format:
```
&SYSTEM
  ibrav = 0, nat = 4, ntyp = 3
/
ATOMIC_SPECIES
In 114.82 In.upf
Ir 192.22 Ir.upf
Rh 102.91 Rh.upf
ATOMIC_POSITIONS crystal
In 0.500 0.500 0.500
Ir 0.000 0.000 0.500
Rh 0.000 0.500 0.000
Rh 0.500 0.000 0.000
CELL_PARAMETERS angstrom
-4.610 -0.619 -1.032
0.631 -1.899 4.324
-0.605 2.516 1.193
```



The following is a PBE calculation of a relaxed structure of Ni2Pt4Rh5, from the Alexandria database. Values from VASP.

Summary:
E above lowest polymorph ... 0 kJ/mol of formula units
Spin magnetization ... 2.55 μB per formula unit
Space group ... P2/m (10)
Energy relative to the elements ... 0.074 eV/atom
Electronic total energy ... -6.5154 eV per atom

The structure in Quantum ESPRESSO input format:
```
&SYSTEM
  ibrav = 0, nat = 11, ntyp = 3
/
ATOMIC_SPECIES
Ni 58.69 Ni.upf
Pt 195.08 Pt.upf
Rh 102.91 Rh.upf
ATOMIC_POSITIONS crystal
Ni 0.000 0.937 0.633
Ni 0.000 0.063 0.367
Pt 0.500 0.277 0.558
Pt 0.500 0.836 0.889
Pt 0.500 0.723 0.442
Pt 0.500 0.164 0.111
Rh 0.000 0.436 0.299
Rh 0.000 0.806 0.167
Rh 0.000 0.500 0.000
Rh 0.000 0.194 0.833
Rh 0.000 0.564 0.701
CELL_PARAMETERS angstrom
-2.234 1.383 0.692
-3.810 -5.261 -1.793
0.137 -3.725 7.880
```



The following is a PBE calculation of a relaxed structure of Ca6Cd3Hg, from the Alexandria database. Values from VASP.

Summary:
Spin magnetization ... 0.00 μB per formula unit
Space group ... P2_1/m (11)
Energy relative to the elements ... -0.312 eV/atom
Electronic total energy ... -1.8174 eV per atom

The structure in Quantum ESPRESSO input format:
```
&SYSTEM
  ibrav = 0, nat = 20, ntyp = 3
/
ATOMIC_SPECIES
Ca 40.08 Ca.upf
Cd 112.41 Cd.upf
Hg 200.59 Hg.upf
ATOMIC_POSITIONS crystal
Ca 0.250 0.485 0.090
Ca 0.750 0.515 0.910
Ca 0.250 0.141 0.168
Ca 0.750 0.859 0.832
Ca 0.250 0.650 0.666
Ca 0.750 0.350 0.334
Ca 0.250 0.241 0.502
Ca 0.750 0.759 0.498
Ca 0.250 0.846 0.323
Ca 0.750 0.154 0.677
Ca 0.250 0.108 0.870
Ca 0.750 0.892 0.130
Cd 0.250 0.529 0.374
Cd 0.750 0.471 0.626
Cd 0.250 0.393 0.784
Cd 0.750 0.607 0.216
Cd 0.250 0.774 0.969
Cd 0.750 0.226 0.031
Hg 0.250 0.949 0.602
Hg 0.750 0.051 0.398
CELL_PARAMETERS angstrom
5.570 0.000 0.000
0.000 8.946 -3.090
0.000 0.017 12.172
```



The following is a PBE calculation of a relaxed structure of Cs2VBr5Cl, from the Alexandria database. Values from VASP.

Summary:
Spin magnetization ... 1.00 μB per formula unit
Space group ... I4mm (107)
Electronic total energy ... -3.6586 eV per atom
Raw formation energy ... -1.32 eV per atom

The structure in Quantum ESPRESSO input format:
```
&SYSTEM
  ibrav = 0, nat = 9, ntyp = 4
/
ATOMIC_SPECIES
Cs 132.91 Cs.upf
V 50.94 V.upf
Br 79.90 Br.upf
Cl 35.45 Cl.upf
ATOMIC_POSITIONS crystal
Cs 0.500 0.249 0.749
Cs 0.500 0.749 0.249
V 0.000 0.997 0.997
Br 0.460 0.228 0.228
Br 0.540 0.769 0.769
Br 0.000 0.769 0.228
Br 0.000 0.228 0.769
Br 0.000 0.226 0.226
Cl 0.000 0.785 0.785
CELL_PARAMETERS angstrom
7.723 -0.112 -0.162
-3.766 6.744 0.162
-3.766 -2.250 6.360
```



The following is a PBE calculation of a relaxed structure of GdDy2Ga, from the Alexandria database. Values from VASP.

Summary:
E above lowest polymorph ... 9 kJ/mol of formula units
Spin magnetization ... 7.84 μB per formula unit
Space group ... P4/mmm (123)
Energy relative to the elements ... -0.252 eV/atom
Electronic total energy ... -6.8303 eV per atom

The structure in Quantum ESPRESSO input format:
```
&SYSTEM
  ibrav = 0, nat = 4, ntyp = 3
/
ATOMIC_SPECIES
Gd 157.25 Gd.upf
Ga 69.72 Ga.upf
Dy 162.50 Dy.upf
ATOMIC_POSITIONS crystal
Gd 0.500 0.500 0.500
Ga 0.500 0.000 0.000
Dy 0.000 0.000 0.500
Dy 0.000 0.500 0.000
CELL_PARAMETERS angstrom
4.704 0.000 0.000
0.000 4.742 0.000
0.000 0.000 4.742
```



The following is a PBE calculation of a relaxed structure of LaFePt2, from the Alexandria database. Values from VASP.

Summary:
E above lowest polymorph ... 78 kJ/mol of formula units
Spin magnetization ... 3.35 μB per formula unit
Space group ... Pm (6)
Energy relative to the elements ... -0.473 eV/atom
Electronic total energy ... -6.8410 eV per atom

The structure in Quantum ESPRESSO input format:
```
&SYSTEM
  ibrav = 0, nat = 4, ntyp = 3
/
ATOMIC_SPECIES
Fe 55.84 Fe.upf
La 138.91 La.upf
Pt 195.08 Pt.upf
ATOMIC_POSITIONS crystal
Fe 0.000 0.395 0.429
La 0.500 0.730 0.819
Pt 0.000 0.195 0.947
Pt 0.500 0.181 0.304
CELL_PARAMETERS angstrom
-4.376 0.119 -1.030
-0.909 -0.255 3.831
-0.134 4.771 1.119
```